Entry 1:
# CeY3In4, optimized geometry, DFT PBE
# total magnetic moment	0.97	Bohr magnetons per cell
# formation enthalpy at 0 K	-0.45	eV/atom
# space-group type	R-3m
data_CeY3In4
_cell_length_a 5.3560
_cell_length_b 5.3560
_cell_length_c 9.3245
_cell_angle_alpha 73.31
_cell_angle_beta 73.31
_cell_angle_gamma 60.00
_space_group_name_H-M_alt 'P 1'
_space_group_IT_number 1
loop_
_space_group_symop_operation_xyz
'x,y,z'
loop_
_atom_site_label
_atom_site_fract_x
_atom_site_fract_y
_atom_site_fract_z
_atom_site_occupancy
Y1 0.2496 0.2496 0.2511 1
In1 0.1262 0.1262 0.6214 1
In2 0.3763 0.3763 0.8711 1
In3 0.6237 0.6237 0.1289 1
Y2 0.5000 0.5000 0.5000 1
Y3 0.7504 0.7504 0.7489 1
In4 0.8738 0.8738 0.3786 1
Ce1 0.0000 0.0000 0.0000 1

***

Entry 2:
# RbBaCeI6, optimized geometry, DFT PBE
# total magnetic moment	2.00	Bohr magnetons per cell
# E	-63.76	eV/cell
# space-group type	P-31c
data_RbBaCeI6
_cell_length_a 8.6481
_cell_length_b 8.6481
_cell_length_c 15.6125
_cell_angle_alpha 90.00
_cell_angle_beta 90.00
_cell_angle_gamma 120.00
_space_group_name_H-M_alt 'P 1'
_space_group_IT_number 1
loop_
_space_group_symop_operation_xyz
'x,y,z'
loop_
_atom_site_label
_atom_site_fract_x
_atom_site_fract_y
_atom_site_fract_z
_atom_site_occupancy
Ce1 0.3333 0.6667 0.7500 1
I1 0.0277 0.6487 0.8680 1
I2 0.0277 0.3790 0.6320 1
Rb1 0.0000 0.0000 0.5000 1
Ce2 0.6667 0.3333 0.2500 1
Rb2 0.0000 0.0000 0.0000 1
I3 0.3790 0.3513 0.3680 1
I4 0.6210 0.9723 0.8680 1
I5 0.6487 0.6210 0.1320 1
I6 0.9723 0.6210 0.3680 1
Ba1 0.6667 0.3333 0.7500 1
I7 0.9723 0.3513 0.1320 1
I8 0.3790 0.0277 0.1320 1
I9 0.3513 0.9723 0.6320 1
I10 0.6210 0.6487 0.6320 1
I11 0.6487 0.0277 0.3680 1
Ba2 0.3333 0.6667 0.2500 1
I12 0.3513 0.3790 0.8680 1

***

Entry 3:
# CaZr2Cr, optimized geometry, DFT PBE
# total magnetic moment	0.00	Bohr magnetons per cell
# energy above the most stable polymorph in this dataset	0.896	eV per atom
# formation enthalpy at 0 K	1.14	eV/atom
# space-group type	I4_1/amd
data_CaZr2Cr
_cell_length_a 7.3061
_cell_length_b 7.3061
_cell_length_c 7.3253
_cell_angle_alpha 60.09
_cell_angle_beta 60.09
_cell_angle_gamma 90.00
_space_group_name_H-M_alt 'P 1'
_space_group_IT_number 1
loop_
_space_group_symop_operation_xyz
'x,y,z'
loop_
_atom_site_label
_atom_site_fract_x
_atom_site_fract_y
_atom_site_fract_z
_atom_site_occupancy
Zr1 0.8750 0.6250 0.2500 1
Zr2 0.8750 0.1250 0.2500 1
Zr3 0.8750 0.1250 0.7500 1
Cr1 0.7500 0.2500 0.5000 1
Ca1 0.2500 0.7500 0.5000 1
Cr2 0.0000 0.0000 0.0000 1
Ca2 0.5000 0.5000 0.0000 1
Zr4 0.3750 0.1250 0.7500 1

***

Entry 4:
# Nb2SiB2Os5, optimized geometry, DFT PBE
# total magnetic moment	0.00	Bohr magnetons per cell
# E	-199.09	eV/cell
# space-group type	P4/mbm
data_Nb2SiB2Os5
_cell_length_a 2.9581
_cell_length_b 9.3863
_cell_length_c 9.3863
_cell_angle_alpha 90.00
_cell_angle_beta 90.00
_cell_angle_gamma 90.00
_space_group_name_H-M_alt 'P 1'
_space_group_IT_number 1
loop_
_space_group_symop_operation_xyz
'x,y,z'
loop_
_atom_site_label
_atom_site_fract_x
_atom_site_fract_y
_atom_site_fract_z
_atom_site_occupancy
Nb1 0.0000 0.1772 0.3228 1
Os1 0.5000 0.4344 0.2893 1
Os2 0.5000 0.0000 0.5000 1
Si1 0.0000 0.0000 0.0000 1
B1 0.0000 0.1247 0.6247 1
B2 0.0000 0.8753 0.3753 1
Nb2 0.0000 0.3228 0.8228 1
Os3 0.5000 0.2893 0.5656 1
Si2 0.0000 0.5000 0.5000 1
Os4 0.5000 0.7107 0.4344 1
B3 0.0000 0.6247 0.8753 1
Os5 0.5000 0.2107 0.0656 1
B4 0.0000 0.3753 0.1247 1
Os6 0.5000 0.5000 0.0000 1
Os7 0.5000 0.0656 0.7893 1
Os8 0.5000 0.5656 0.7107 1
Nb3 0.0000 0.8228 0.6772 1
Os9 0.5000 0.9344 0.2107 1
Nb4 0.0000 0.6772 0.1772 1
Os10 0.5000 0.7893 0.9344 1

***

Entry 5:
# LuPuTlOs, optimized geometry, DFT PBE
# total magnetic moment	5.00	Bohr magnetons per cell
# formation enthalpy at 0 K	0.04	eV/atom
# space-group type	F-43m
data_LuPuTlOs
_cell_length_a 5.0264
_cell_length_b 5.0264
_cell_length_c 5.0264
_cell_angle_alpha 60.00
_cell_angle_beta 60.00
_cell_angle_gamma 60.00
_space_group_name_H-M_alt 'P 1'
_space_group_IT_number 1
loop_
_space_group_symop_operation_xyz
'x,y,z'
loop_
_atom_site_label
_atom_site_fract_x
_atom_site_fract_y
_atom_site_fract_z
_atom_site_occupancy
Tl1 0.5000 0.5000 0.5000 1
Os1 0.0000 0.0000 0.0000 1
Pu1 0.2500 0.2500 0.2500 1
Lu1 0.7500 0.7500 0.7500 1

***

Entry 6:
# Fe2SiSn, optimized geometry, DFT PBE
# total magnetic moment	6.80	Bohr magnetons per cell
# energy above the most stable polymorph in this dataset	0.279	eV per atom
# space-group type	I-42d
data_Fe2SiSn
_cell_length_a 6.8403
_cell_length_b 6.8403
_cell_length_c 5.5275
_cell_angle_alpha 51.78
_cell_angle_beta 51.78
_cell_angle_gamma 90.00
_space_group_name_H-M_alt 'P 1'
_space_group_IT_number 1
loop_
_space_group_symop_operation_xyz
'x,y,z'
loop_
_atom_site_label
_atom_site_fract_x
_atom_site_fract_y
_atom_site_fract_z
_atom_site_occupancy
Sn1 0.0000 0.0000 0.0000 1
Sn2 0.7500 0.2500 0.5000 1
Si1 0.5000 0.5000 0.0000 1
Fe1 0.1858 0.6250 0.2500 1
Fe2 0.8750 0.8142 0.7500 1
Fe3 0.3750 0.4358 0.7500 1
Si2 0.2500 0.7500 0.5000 1
Fe4 0.5642 0.1250 0.2500 1

***

Entry 7:
# BaMg2Sb2, optimized geometry, DFT PBE
# total magnetic moment	0.00	Bohr magnetons per cell
# E	-31.14	eV/cell
# space-group type	P4/mbm
data_BaMg2Sb2
_cell_length_a 8.6840
_cell_length_b 8.6840
_cell_length_c 3.7720
_cell_angle_alpha 90.00
_cell_angle_beta 90.00
_cell_angle_gamma 90.00
_space_group_name_H-M_alt 'P 1'
_space_group_IT_number 1
loop_
_space_group_symop_operation_xyz
'x,y,z'
loop_
_atom_site_label
_atom_site_fract_x
_atom_site_fract_y
_atom_site_fract_z
_atom_site_occupancy
Mg1 0.3803 0.8803 0.0000 1
Ba1 0.5000 0.5000 0.0000 1
Mg2 0.8803 0.6197 0.0000 1
Sb1 0.3260 0.1740 0.5000 1
Mg3 0.1197 0.3803 0.0000 1
Sb2 0.8260 0.3260 0.5000 1
Mg4 0.6197 0.1197 0.0000 1
Sb3 0.6740 0.8260 0.5000 1
Ba2 0.0000 0.0000 0.0000 1
Sb4 0.1740 0.6740 0.5000 1

***

Entry 8:
# PmTiHg, optimized geometry, DFT PBE
# total magnetic moment	0.01	Bohr magnetons per cell
# formation enthalpy at 0 K	0.13	eV/atom
# space-group type	P-6m2
data_PmTiHg
_cell_length_a 3.3416
_cell_length_b 3.3387
_cell_length_c 15.0647
_cell_angle_alpha 90.00
_cell_angle_beta 90.00
_cell_angle_gamma 120.03
_space_group_name_H-M_alt 'P 1'
_space_group_IT_number 1
loop_
_space_group_symop_operation_xyz
'x,y,z'
loop_
_atom_site_label
_atom_site_fract_x
_atom_site_fract_y
_atom_site_fract_z
_atom_site_occupancy
Hg1 0.2777 0.5555 0.5000 1
Pm1 0.2774 0.5549 0.1864 1
Ti1 0.6114 0.2229 0.6490 1
Hg2 0.6111 0.2222 0.0000 1
Ti2 0.6114 0.2229 0.3510 1
Pm2 0.2774 0.5549 0.8136 1

***

Entry 9:
# MgBSe3, optimized geometry, DFT PBE
# total magnetic moment	0.00	Bohr magnetons per cell
# energy above the most stable polymorph in this dataset	0.718	eV per atom
# space-group type	Pm-3m
data_MgBSe3
_cell_length_a 5.0382
_cell_length_b 5.0382
_cell_length_c 5.0382
_cell_angle_alpha 90.00
_cell_angle_beta 90.00
_cell_angle_gamma 90.00
_space_group_name_H-M_alt 'P 1'
_space_group_IT_number 1
loop_
_space_group_symop_operation_xyz
'x,y,z'
loop_
_atom_site_label
_atom_site_fract_x
_atom_site_fract_y
_atom_site_fract_z
_atom_site_occupancy
Se1 0.5000 0.0000 0.0000 1
Mg1 0.0000 0.0000 0.0000 1
Se2 0.0000 0.5000 0.0000 1
Se3 0.0000 0.0000 0.5000 1
B1 0.5000 0.5000 0.5000 1

***

Entry 10:
# Li6AlPd12, optimized geometry, DFT PBE
# total magnetic moment	0.00	Bohr magnetons per cell
# formation enthalpy at 0 K	-0.30	eV/atom
# space-group type	R-3
data_Li6AlPd12
_cell_length_a 6.5158
_cell_length_b 6.5158
_cell_length_c 6.5158
_cell_angle_alpha 89.82
_cell_angle_beta 89.82
_cell_angle_gamma 89.82
_space_group_name_H-M_alt 'P 1'
_space_group_IT_number 1
loop_
_space_group_symop_operation_xyz
'x,y,z'
loop_
_atom_site_label
_atom_site_fract_x
_atom_site_fract_y
_atom_site_fract_z
_atom_site_occupancy
Li1 0.1185 0.7186 0.2830 1
Pd1 0.4629 0.5571 0.1999 1
Pd2 0.5571 0.1999 0.4629 1
Pd3 0.8510 0.6444 0.9907 1
Pd4 0.8001 0.5371 0.4429 1
Li2 0.2830 0.1185 0.7186 1
Pd5 0.1490 0.3556 0.0093 1
Pd6 0.1999 0.4629 0.5571 1
Pd7 0.6444 0.9907 0.8510 1
Pd8 0.0093 0.1490 0.3556 1
Pd9 0.5371 0.4429 0.8001 1
Al1 0.0000 0.0000 0.0000 1
Li3 0.2814 0.7170 0.8815 1
Li4 0.8815 0.2814 0.7170 1
Pd10 0.3556 0.0093 0.1490 1
Pd11 0.9907 0.8510 0.6444 1
Li5 0.7186 0.2830 0.1185 1
Li6 0.7170 0.8815 0.2814 1
Pd12 0.4429 0.8001 0.5371 1

***

Entry 11:
# AcPm5Y2, optimized geometry, DFT PBE
# total magnetic moment	0.00	Bohr magnetons per cell
# energy above the most stable polymorph in this dataset	0.119	eV per atom
# formation enthalpy at 0 K	0.14	eV/atom
# space-group type	C2/c
data_AcPm5Y2
_cell_length_a 9.8144
_cell_length_b 7.1085
_cell_length_c 11.9285
_cell_angle_alpha 126.50
_cell_angle_beta 114.29
_cell_angle_gamma 90.00
_space_group_name_H-M_alt 'P 1'
_space_group_IT_number 1
loop_
_space_group_symop_operation_xyz
'x,y,z'
loop_
_atom_site_label
_atom_site_fract_x
_atom_site_fract_y
_atom_site_fract_z
_atom_site_occupancy
Y1 0.2995 0.4757 0.9757 1
Pm1 0.6963 0.1566 0.6570 1
Pm2 0.9607 0.6566 0.6570 1
Pm3 0.3527 0.4579 0.7068 1
Y2 0.3238 0.0243 0.0243 1
Pm4 0.3037 0.8434 0.3430 1
Pm5 0.6458 0.0421 0.2932 1
Ac1 0.0000 0.0000 0.5000 1
Y3 0.7005 0.5243 0.0243 1
Pm6 0.3542 0.9579 0.7068 1
Pm7 0.0001 0.2500 0.0000 1
Pm8 0.9999 0.7500 0.0000 1
Pm9 0.6473 0.5421 0.2932 1
Pm10 0.0393 0.3434 0.3430 1
Ac2 0.5000 0.5000 0.5000 1
Y4 0.6762 0.9757 0.9757 1

***

Entry 12:
# TiTl3Cd, optimized geometry, DFT PBE
# total magnetic moment	0.00	Bohr magnetons per cell
# formation enthalpy at 0 K	0.97	eV/atom
# space-group type	Pm-3m
data_TiTl3Cd
_cell_length_a 5.4993
_cell_length_b 5.4993
_cell_length_c 5.4993
_cell_angle_alpha 90.00
_cell_angle_beta 90.00
_cell_angle_gamma 90.00
_space_group_name_H-M_alt 'P 1'
_space_group_IT_number 1
loop_
_space_group_symop_operation_xyz
'x,y,z'
loop_
_atom_site_label
_atom_site_fract_x
_atom_site_fract_y
_atom_site_fract_z
_atom_site_occupancy
Tl1 0.5000 0.0000 0.0000 1
Tl2 0.0000 0.5000 0.0000 1
Tl3 0.0000 0.0000 0.5000 1
Cd1 0.0000 0.0000 0.0000 1
Ti1 0.5000 0.5000 0.5000 1